! DyHoB4C PBE optimized geometry; values from VASP
! Calculated total energy (eV/atom): -7.018
! Spin magnetization (μB per cell): 0.00
&SYSTEM
  ibrav = 0, nat = 7, ntyp = 4
/
ATOMIC_SPECIES
B 10.81 B.upf
Dy 162.50 Dy.upf
Ho 164.93 Ho.upf
C 12.01 C.upf
ATOMIC_POSITIONS crystal
B 0.365 0.500 0.866
B 0.227 0.000 0.227
B 0.634 0.500 0.134
B 0.773 0.000 0.773
Dy 0.766 0.266 0.500
Ho 0.234 0.734 0.500
C 0.000 0.000 0.000
CELL_PARAMETERS angstrom
-3.145 -3.677 2.051
-0.140 2.490 4.626
-1.605 0.245 -4.998